1.
A geometry-optimized NdNi2AsN structure, computed with PBE.

a b c (Å): 5.981 5.981 6.939
angles (deg): 90.00 90.00 144.55
Fractional coordinates of all 10 atoms:
Nd 0.035 0.965 0.750
Nd 0.965 0.035 0.250
Ni 0.334 0.666 0.551
Ni 0.334 0.666 0.949
Ni 0.666 0.334 0.051
Ni 0.666 0.334 0.449
As 0.234 0.766 0.250
As 0.766 0.234 0.750
N 0.500 0.500 0.000
N 0.500 0.500 0.500

Values from the calculation:
symmetry = Cmcm
total magnetic moment = 0.0 μB/cell
E_tot = -0.4850 Ry per atom
theoretical density = 8.087 g/cm3
energy relative to the elements, uncorrected = -0.74 eV per atom



2.
A geometry-optimized TbSm3Dy4 structure, computed with PBE.

a b c (Å): 11.878 11.878 6.740
angles (deg): 106.44 106.44 16.85
Fractional coordinates of all 8 atoms:
Tb 0.000 0.000 0.000
Sm 0.374 0.374 0.630
Sm 0.500 0.500 0.500
Sm 0.626 0.626 0.370
Dy 0.240 0.240 0.235
Dy 0.375 0.375 0.117
Dy 0.625 0.625 0.883
Dy 0.760 0.760 0.765

Values from the calculation:
E_form = 0.163 eV/atom
symmetry = C2/m
total magnetic moment = 0.0 μB/cell
E_tot = -0.3298 Ry per atom
theoretical density = 7.922 g/cm3



3.
A geometry-optimized KLi2BiF8 structure, computed with PBE.

a b c (Å): 4.930 5.070 7.800
angles (deg): 89.65 89.65 77.47
Fractional coordinates of all 12 atoms:
K 0.000 0.000 0.000
Li 0.500 0.500 0.166
Li 0.500 0.500 0.834
Bi 0.000 0.000 0.500
F 0.221 0.771 0.695
F 0.223 0.773 0.306
F 0.267 0.252 0.499
F 0.338 0.324 0.001
F 0.662 0.676 0.999
F 0.733 0.748 0.501
F 0.777 0.227 0.694
F 0.779 0.229 0.305

Values from the calculation:
symmetry = P-1
total magnetic moment = 0.0 μB/cell
E_tot = -0.3183 Ry per atom
theoretical density = 3.611 g/cm3
energy relative to the elements, uncorrected = -2.35 eV per atom



| no. | DOS at the Fermi energy (states/eV per atom) |
| --- | --- |
| 1 | 0.76 |
| 2 | 1.77 |
| 3 | 0.48 |